Record 1
Computed, not measured: a relaxed Ni2H6Rh crystal at the PBE level of DFT.

Summary:
Symmetry: C2/m (12)

Cell: 4.6292 4.6292 5.7351 Å, 123.56 123.56 38.14°
Last column: nearest neighbours and their distance in Å.
Sites, in units of the cell vectors:
Ni (0.1712, 0.1712, 0.0934)  6 H 1.65-1.77
Ni (0.8288, 0.8288, 0.9066)  6 H 1.65-1.77
H (0.0420, 0.0420, 0.2226)  2 Ni 1.68, 1 Rh 1.83
H (0.2373, 0.2373, 0.8551)  3 Ni 1.65-1.77
H (0.3579, 0.3579, 0.4363)  1 Ni 1.67, 2 Rh 1.85
H (0.6421, 0.6421, 0.5637)  1 Ni 1.67, 2 Rh 1.85
H (0.7627, 0.7627, 0.1449)  3 Ni 1.65-1.77
H (0.9580, 0.9580, 0.7774)  2 Ni 1.68, 1 Rh 1.83
Rh (0.0000, 0.0000, 0.5000)  8 H 1.83-1.87


Record 2
Computed, not measured: a relaxed Ac8AsIr3Br3 crystal at the PBE level of DFT.

Summary:
Symmetry: R-3m (166)
Formation energy from raw total energies, eV per atom: -1.071

Cell: 9.3684 9.3684 9.3684 Å, 57.03 57.03 57.03°
Last column: nearest neighbours and their distance in Å.
Sites, in units of the cell vectors:
Ac (0.2163, 0.7448, 0.7448)  2 Ir 2.98, 1 As 3.17
Ac (0.2337, 0.2337, 0.2337)  3 Ir 3.02
Ac (0.2552, 0.2552, 0.7837)  2 Ir 2.98, 1 As 3.17
Ac (0.2552, 0.7837, 0.2552)  2 Ir 2.98, 1 As 3.17
Ac (0.7448, 0.2163, 0.7448)  2 Ir 2.98, 1 As 3.17
Ac (0.7448, 0.7448, 0.2163)  2 Ir 2.98, 1 As 3.17
Ac (0.7663, 0.7663, 0.7663)  3 Ir 3.02
Ac (0.7837, 0.2552, 0.2552)  2 Ir 2.98, 1 As 3.17
As (0.5000, 0.5000, 0.5000)  6 Ac 3.17
Ir (0.0000, 0.0000, 0.5000)  6 Ac 2.98-3.02
Ir (0.0000, 0.5000, 0.0000)  6 Ac 2.98-3.02
Ir (0.5000, 0.0000, 0.0000)  6 Ac 2.98-3.02
Br (0.0000, 0.5000, 0.5000)  6 Ac 3.48-3.52
Br (0.5000, 0.0000, 0.5000)  6 Ac 3.48-3.52
Br (0.5000, 0.5000, 0.0000)  6 Ac 3.48-3.52


Record 3
Computed, not measured: a relaxed KCd2Rh crystal at the PBE level of DFT.

Summary:
Symmetry: Cm (8)
ΔE_f, eV/atom: 0.1306
Energy relative to the lowest polymorph listed for this composition, eV/atom: 0.109

Cell: 5.1284 5.1284 7.7397 Å, 111.37 111.37 36.68°
Last column: nearest neighbours and their distance in Å.
Sites, in units of the cell vectors:
K (0.0000, 0.0000, 0.0000)  2 K 3.23, 2 Rh 3.28, 1 Cd 3.51
Cd (0.6162, 0.6162, 0.6407)  3 Rh 2.70-2.73
Cd (0.8336, 0.8336, 0.3303)  2 Rh 2.69
Rh (0.3299, 0.3299, 0.6060)  5 Cd 2.69-2.73


Record 4
Computed, not measured: a relaxed AcNiAg4 crystal at the PBE level of DFT.

Summary:
Symmetry: F-43m (216)
ΔE_f, eV/atom: 0.0315

Cell: 5.6245 5.6245 5.6245 Å, 60.00 60.00 60.00°
Last column: nearest neighbours and their distance in Å.
Sites, in units of the cell vectors:
Ac (0.0000, 0.0000, 0.0000)  12 Ag 3.30, 4 Ni 3.44
Ni (0.2500, 0.2500, 0.2500)  12 Ag 3.30, 4 Ac 3.44
Ag (0.1281, 0.6240, 0.6240)  6 Ag 2.79-2.84
Ag (0.6240, 0.1281, 0.6240)  6 Ag 2.79-2.84
Ag (0.6240, 0.6240, 0.1281)  6 Ag 2.79-2.84
Ag (0.6240, 0.6240, 0.6240)  6 Ag 2.79-2.84


Record 5
Computed, not measured: a relaxed Pm8Cd2Ru3 crystal at the PBE level of DFT.

Summary:
Symmetry: P2/m (10)
ΔE_f, eV/atom: -0.1294

Cell: 9.1674 4.9840 9.1708 Å, 90.00 114.34 90.00°
Last column: nearest neighbours and their distance in Å.
Sites, in units of the cell vectors:
Pm (0.1076, 0.0000, 0.3934)  2 Ru 2.98-2.99, 2 Cd 3.27, 1 Pm 3.30
Pm (0.1445, 0.5000, 0.8595)  3 Ru 2.97-2.99, 1 Cd 3.28, 1 Pm 3.33
Pm (0.3613, 0.5000, 0.6447)  3 Ru 2.97-3.00, 1 Cd 3.28, 1 Pm 3.33
Pm (0.3894, 0.0000, 0.1095)  4 Ru 3.01, 2 Cd 3.35
Pm (0.6106, 0.0000, 0.8905)  4 Ru 3.01, 2 Cd 3.35
Pm (0.6387, 0.5000, 0.3553)  3 Ru 2.97-3.00, 1 Cd 3.28, 1 Pm 3.33
Pm (0.8555, 0.5000, 0.1405)  3 Ru 2.97-2.99, 1 Cd 3.28, 1 Pm 3.33
Pm (0.8924, 0.0000, 0.6066)  2 Ru 2.98-2.99, 2 Cd 3.27, 1 Pm 3.30
Cd (0.2447, 0.5000, 0.2547)  8 Pm 3.27-3.35
Cd (0.7553, 0.5000, 0.7453)  8 Pm 3.27-3.35
Ru (0.2503, 0.0000, 0.7499)  8 Pm 2.98-3.01
Ru (0.5000, 0.5000, 0.0000)  8 Pm 2.97-3.01
Ru (0.7497, 0.0000, 0.2501)  8 Pm 2.98-3.01


Record 6
Computed, not measured: a relaxed Tb3TmHg2C crystal at the PBE level of DFT.

Summary:
Symmetry: Immm (71)
ΔE_f, eV/atom: -0.3635

Cell: 8.2091 8.2091 8.2091 Å, 145.88 144.83 49.81°
Last column: nearest neighbours and their distance in Å.
Sites, in units of the cell vectors:
Tb (0.0000, 0.0000, 0.0000)  2 C 2.48
Tb (0.3332, 0.8332, 0.5000)  1 C 2.48
Tb (0.6668, 0.1668, 0.5000)  1 C 2.48
Tm (0.5000, 0.5000, 0.0000)  2 C 2.41
Hg (0.1309, 0.6309, 0.5000)  3 Tb 3.01-3.10, 2 Tm 3.15
Hg (0.8691, 0.3691, 0.5000)  3 Tb 3.01-3.10, 2 Tm 3.15
C (0.5000, 0.0000, 0.5000)  2 Tm 2.41, 4 Tb 2.48


Record 7
Computed, not measured: a relaxed Li2TaVFe crystal at the PBE level of DFT.

Summary:
Symmetry: P4/mmm (123)
ΔE_f, eV/atom: 1.7535

Cell: 4.6086 4.6086 4.3146 Å, 90.00 90.00 90.00°
Last column: nearest neighbours and their distance in Å.
Sites, in units of the cell vectors:
Li (0.0000, 0.5000, 0.0000)  2 Ta 2.30
Li (0.5000, 0.0000, 0.0000)  2 Ta 2.30
Ta (0.0000, 0.0000, 0.0000)  2 Fe 2.16, 4 Li 2.30
V (0.5000, 0.5000, 0.5000)  8 Li 3.16, 4 Fe 3.26
Fe (0.0000, 0.0000, 0.5000)  2 Ta 2.16


Record 8
Computed, not measured: a relaxed Zr2FeHOs crystal at the PBE level of DFT.

Summary:
Symmetry: P4/mmm (123)

Cell: 4.6073 4.6073 3.3377 Å, 90.00 90.00 90.00°
Last column: nearest neighbours and their distance in Å.
Sites, in units of the cell vectors:
Zr (0.0000, 0.5000, 0.0000)  2 H 2.30
Zr (0.5000, 0.0000, 0.0000)  2 H 2.30
Fe (0.0000, 0.0000, 0.5000)  2 H 1.67
H (0.0000, 0.0000, 0.0000)  2 Fe 1.67
Os (0.5000, 0.5000, 0.5000)  8 Zr 2.84


Record 9
Computed, not measured: a relaxed HoSc2Tl crystal at the PBE level of DFT.

Summary:
Symmetry: P4/mmm (123)
ΔE_f, eV/atom: -0.1333
Energy relative to the lowest polymorph listed for this composition, eV/atom: 0.046

Cell: 3.4517 3.4517 8.6103 Å, 90.00 90.00 90.00°
Last column: nearest neighbours and their distance in Å.
Sites, in units of the cell vectors:
Ho (0.0000, 0.0000, 0.0000)  8 Sc 3.38, 4 Ho 3.45
Sc (0.5000, 0.5000, 0.2708)  4 Tl 3.14, 4 Ho 3.38, 4 Sc 3.45
Sc (0.5000, 0.5000, 0.7292)  4 Tl 3.14, 4 Ho 3.38, 4 Sc 3.45
Tl (0.0000, 0.0000, 0.5000)  8 Sc 3.14, 4 Tl 3.45


Record 10
Computed, not measured: a relaxed YSc3Tl3Te8 crystal at the PBE level of DFT.

Summary:
Symmetry: R-3m (166)
Formation energy from raw total energies, eV per atom: -0.967

Cell: 9.4844 9.4844 9.4844 Å, 53.04 53.04 53.04°
Last column: nearest neighbours and their distance in Å.
Sites, in units of the cell vectors:
Y (0.0000, 0.0000, 0.0000)  6 Te 3.08
Sc (0.0000, 0.5000, 0.5000)  6 Te 2.95
Sc (0.5000, 0.0000, 0.5000)  6 Te 2.95
Sc (0.5000, 0.5000, 0.0000)  6 Te 2.95
Tl (0.0000, 0.0000, 0.5000)  6 Te 3.43
Tl (0.0000, 0.5000, 0.0000)  6 Te 3.43
Tl (0.5000, 0.0000, 0.0000)  6 Te 3.43
Te (0.2444, 0.2444, 0.7224)  2 Sc 2.95, 1 Y 3.08
Te (0.2444, 0.7224, 0.2444)  2 Sc 2.95, 1 Y 3.08
Te (0.2653, 0.2653, 0.2653)  3 Sc 2.95
Te (0.2776, 0.7556, 0.7556)  2 Sc 2.95, 1 Y 3.08
Te (0.7224, 0.2444, 0.2444)  2 Sc 2.95, 1 Y 3.08
Te (0.7347, 0.7347, 0.7347)  3 Sc 2.95
Te (0.7556, 0.2776, 0.7556)  2 Sc 2.95, 1 Y 3.08
Te (0.7556, 0.7556, 0.2776)  2 Sc 2.95, 1 Y 3.08


Record 11
Computed, not measured: a relaxed DyPu2Te4 crystal at the PBE level of DFT.

Summary:
Symmetry: Cmcm (63)
Formation energy from raw total energies, eV per atom: -1.117
Energy relative to the lowest polymorph listed for this composition, eV/atom: 0.010

Cell: 7.5312 7.5312 15.1450 Å, 90.00 90.00 147.03°
Last column: nearest neighbours and their distance in Å.
Sites, in units of the cell vectors:
Dy (0.1211, 0.8789, 0.7500)  6 Te 3.08-3.18
Dy (0.8789, 0.1211, 0.2500)  6 Te 3.08-3.18
Pu (0.3650, 0.6350, 0.5683)  6 Te 3.07-3.18
Pu (0.3650, 0.6350, 0.9317)  6 Te 3.07-3.18
Pu (0.6350, 0.3650, 0.0683)  6 Te 3.07-3.18
Pu (0.6350, 0.3650, 0.4317)  6 Te 3.07-3.18
Te (0.0000, 0.0000, 0.0000)  4 Pu 3.07
Te (0.0000, 0.0000, 0.5000)  4 Pu 3.07
Te (0.2809, 0.7191, 0.1258)  3 Pu 3.13-3.18, 2 Dy 3.18
Te (0.2809, 0.7191, 0.3742)  3 Pu 3.13-3.18, 2 Dy 3.18
Te (0.4672, 0.5328, 0.7500)  2 Dy 3.08, 2 Pu 3.12
Te (0.5328, 0.4672, 0.2500)  2 Dy 3.08, 2 Pu 3.12
Te (0.7191, 0.2809, 0.6258)  3 Pu 3.13-3.18, 2 Dy 3.18
Te (0.7191, 0.2809, 0.8742)  3 Pu 3.13-3.18, 2 Dy 3.18


Record 12
Computed, not measured: a relaxed MgReAs crystal at the PBE level of DFT.

Summary:
Symmetry: F-43m (216)
ΔE_f, eV/atom: 0.3529
Energy relative to the lowest polymorph listed for this composition, eV/atom: 0.392

Cell: 4.2107 4.2107 4.2107 Å, 60.00 60.00 60.00°
Last column: nearest neighbours and their distance in Å.
Sites, in units of the cell vectors:
Mg (0.0000, 0.0000, 0.0000)  4 As 2.58
Re (0.5000, 0.5000, 0.5000)  4 As 2.58
As (0.2500, 0.2500, 0.2500)  4 Re 2.58, 4 Mg 2.58


Record 13
Computed, not measured: a relaxed CaNbSi2 crystal at the PBE level of DFT.

Summary:
Symmetry: I-42d (122)
Formation energy from raw total energies, eV per atom: 0.176
Energy relative to the lowest polymorph listed for this composition, eV/atom: 0.106

Cell: 9.2467 9.2467 9.2467 Å, 149.38 149.38 43.86°
Last column: nearest neighbours and their distance in Å.
Sites, in units of the cell vectors:
Ca (0.0000, 0.0000, 0.0000)  4 Si 3.26, 4 Nb 3.45
Ca (0.7500, 0.2500, 0.5000)  4 Si 3.26, 4 Nb 3.45
Nb (0.2500, 0.7500, 0.5000)  4 Si 2.49
Nb (0.5000, 0.5000, 0.0000)  4 Si 2.49
Si (0.3126, 0.6250, 0.1876)  2 Nb 2.49, 2 Si 2.52
Si (0.3750, 0.5626, 0.6876)  2 Nb 2.49, 2 Si 2.52
Si (0.4374, 0.1250, 0.8124)  2 Nb 2.49, 2 Si 2.52
Si (0.8750, 0.6874, 0.3124)  2 Nb 2.49, 2 Si 2.52


Record 14
Computed, not measured: a relaxed Y2ZrRe crystal at the PBE level of DFT.

Summary:
Symmetry: Fm-3m (225)
ΔE_f, eV/atom: 0.4111
Energy relative to the lowest polymorph listed for this composition, eV/atom: 0.380

Cell: 5.0724 5.0724 5.0724 Å, 60.00 60.00 60.00°
Last column: nearest neighbours and their distance in Å.
Sites, in units of the cell vectors:
Y (0.2500, 0.2500, 0.2500)  4 Zr 3.11, 4 Re 3.11
Y (0.7500, 0.7500, 0.7500)  4 Zr 3.11, 4 Re 3.11
Zr (0.0000, 0.0000, 0.0000)  8 Y 3.11
Re (0.5000, 0.5000, 0.5000)  8 Y 3.11


Record 15
Computed, not measured: a relaxed Ca3ZnO crystal at the PBE level of DFT.

Summary:
Symmetry: Pm-3m (221)
Formation energy from raw total energies, eV per atom: -1.228
Energy relative to the lowest polymorph listed for this composition, eV/atom: 0.000

Cell: 4.8440 4.8440 4.8440 Å, 90.00 90.00 90.00°
Last column: nearest neighbours and their distance in Å.
Sites, in units of the cell vectors:
Ca (0.0000, 0.0000, 0.5000)  2 O 2.42
Ca (0.0000, 0.5000, 0.0000)  2 O 2.42
Ca (0.5000, 0.0000, 0.0000)  2 O 2.42
Zn (0.5000, 0.5000, 0.5000)  12 Ca 3.43
O (0.0000, 0.0000, 0.0000)  6 Ca 2.42


Record 16
Computed, not measured: a relaxed PmPuAg2 crystal at the PBE level of DFT.

Summary:
Symmetry: Fm-3m (225)
ΔE_f, eV/atom: -0.0438
Energy relative to the lowest polymorph listed for this composition, eV/atom: 0.025

Cell: 5.2454 5.2454 5.2454 Å, 60.00 60.00 60.00°
Last column: nearest neighbours and their distance in Å.
Sites, in units of the cell vectors:
Pm (0.0000, 0.0000, 0.0000)  8 Ag 3.21
Pu (0.5000, 0.5000, 0.5000)  8 Ag 3.21
Ag (0.2500, 0.2500, 0.2500)  4 Pu 3.21, 4 Pm 3.21
Ag (0.7500, 0.7500, 0.7500)  4 Pu 3.21, 4 Pm 3.21


Record 17
Computed, not measured: a relaxed PrEuGa4 crystal at the PBE level of DFT.

Summary:
Symmetry: F-43m (216)
ΔE_f, eV/atom: -0.5328

Cell: 5.6642 5.6642 5.6642 Å, 60.00 60.00 60.00°
Last column: nearest neighbours and their distance in Å.
Sites, in units of the cell vectors:
Pr (0.0000, 0.0000, 0.0000)  12 Ga 3.32, 4 Eu 3.47
Eu (0.2500, 0.2500, 0.2500)  12 Ga 3.32, 4 Pr 3.47
Ga (0.1248, 0.6251, 0.6251)  6 Ga 2.83
Ga (0.6251, 0.1248, 0.6251)  6 Ga 2.83
Ga (0.6251, 0.6251, 0.1248)  6 Ga 2.83
Ga (0.6251, 0.6251, 0.6251)  6 Ga 2.83


Record 18
Computed, not measured: a relaxed LaBeAl crystal at the PBE level of DFT.

Summary:
Symmetry: F-43m (216)
ΔE_f, eV/atom: 0.7025
Energy relative to the lowest polymorph listed for this composition, eV/atom: 0.899

Cell: 4.8576 4.8576 4.8576 Å, 60.00 60.00 60.00°
Last column: nearest neighbours and their distance in Å.
Sites, in units of the cell vectors:
La (0.0000, 0.0000, 0.0000)  4 Al 2.97, 4 Be 2.97
Be (0.2500, 0.2500, 0.2500)  4 La 2.97
Al (0.7500, 0.7500, 0.7500)  4 La 2.97


Record 19
Computed, not measured: a relaxed Li3Zn crystal at the PBE level of DFT.

Summary:
Symmetry: Cmcm (63)
ΔE_f, eV/atom: -0.0942

Cell: 5.5624 5.5624 4.3325 Å, 90.00 90.00 80.45°
Last column: nearest neighbours and their distance in Å.
Sites, in units of the cell vectors:
Li (0.1272, 0.3775, 0.7500)  6 Li 2.69-2.88, 2 Zn 2.72-2.85
Li (0.1426, 0.8574, 0.7500)  6 Li 2.69-2.98, 2 Zn 2.78
Li (0.3775, 0.1272, 0.2500)  6 Li 2.69-2.88, 2 Zn 2.72-2.85
Li (0.6225, 0.8728, 0.7500)  6 Li 2.69-2.88, 2 Zn 2.72-2.85
Li (0.8574, 0.1426, 0.2500)  6 Li 2.69-2.98, 2 Zn 2.78
Li (0.8728, 0.6225, 0.2500)  6 Li 2.69-2.88, 2 Zn 2.72-2.85
Zn (0.3861, 0.6139, 0.2500)  2 Zn 2.72, 10 Li 2.72-3.02
Zn (0.6139, 0.3861, 0.7500)  2 Zn 2.72, 10 Li 2.72-3.02


Record 20
Computed, not measured: a relaxed SmY2HoSe6 crystal at the PBE level of DFT.

Summary:
Symmetry: R3 (146)
Formation energy from raw total energies, eV per atom: -1.855

Cell: 7.7321 7.7321 7.7321 Å, 55.88 55.88 55.88°
Last column: nearest neighbours and their distance in Å.
Sites, in units of the cell vectors:
Sm (0.0000, 0.0000, 0.0000)  6 Se 2.89-2.98
Y (0.3004, 0.3004, 0.3004)  6 Se 2.85-2.91
Y (0.8025, 0.8025, 0.8025)  6 Se 2.84-2.91
Ho (0.4970, 0.4970, 0.4970)  6 Se 2.84-2.89
Se (0.0942, 0.6955, 0.4083)  2 Y 2.84-2.91, 1 Sm 2.89, 1 Ho 2.89
Se (0.2064, 0.5918, 0.8977)  1 Ho 2.84, 2 Y 2.85-2.91, 1 Sm 2.98
Se (0.4083, 0.0942, 0.6955)  2 Y 2.84-2.91, 1 Sm 2.89, 1 Ho 2.89
Se (0.5918, 0.8977, 0.2064)  1 Ho 2.84, 2 Y 2.85-2.91, 1 Sm 2.98
Se (0.6955, 0.4083, 0.0942)  2 Y 2.84-2.91, 1 Sm 2.89, 1 Ho 2.89
Se (0.8977, 0.2064, 0.5918)  1 Ho 2.84, 2 Y 2.85-2.91, 1 Sm 2.98


| no. | calculated total energy (eV per atom) |
| --- | --- |
| 1 | -4.313 |
| 2 | -5.679 |
| 3 | -2.439 |
| 4 | -3.518 |
| 5 | -5.334 |
| 6 | -4.391 |
| 7 | -4.899 |
| 8 | -8.386 |
| 9 | -5.035 |
| 10 | -4.813 |
| 11 | -7.665 |
| 12 | -5.878 |
| 13 | -5.553 |
| 14 | -8.070 |
| 15 | -3.675 |
| 16 | -6.240 |
| 17 | -5.060 |
| 18 | -3.430 |
| 19 | -1.848 |
| 20 | -6.168 |